No. 1
Density functional theory data (meta-GGA SCAN) for a crystal of MnIrCl relaxed with PBEsol.

The structure in POSCAR format:
```
MnIrCl
1.0
4.0624 0.0000 0.0000
2.0312 3.5181 0.0000
2.0312 1.1727 3.3169
Mn Ir Cl
1 1 1
Direct
0.5000 0.5000 0.5000 Mn
0.0000 0.0000 0.0000 Ir
0.2500 0.2500 0.2500 Cl
```

Values from the calculation:
Symmetry: F-43m (216)
ΔE to the lowest computed polymorph: 311.6 kJ/mol of formula units
Energy: -31.431 eV/atom

No. 2
Density functional theory data (meta-GGA SCAN) for a crystal of MnIrCl2 relaxed with PBEsol.

The structure in POSCAR format:
```
MnIrCl2
1.0
3.2037 -0.0076 -0.0121
-1.4737 4.7530 -0.0188
-1.4737 -2.0987 4.2646
Cl Mn Ir
2 1 1
Direct
0.0000 0.0000 0.5000 Cl
0.0000 0.5000 0.0000 Cl
0.0000 0.5000 0.5000 Mn
0.0000 0.0000 0.0000 Ir
```

Values from the calculation:
Symmetry: C2/m (12)
ΔE to the lowest computed polymorph: 168.4 kJ/mol of formula units
Energy: -26.181 eV/atom

No. 3
Density functional theory data (meta-GGA SCAN) for a crystal of MnIr2Cl relaxed with PBEsol.

The structure in POSCAR format:
```
MnIr2Cl
1.0
-0.9755 -0.5431 2.5174
2.4112 -3.7794 0.1189
3.5988 2.3559 1.9029
Mn Cl Ir
1 1 2
Direct
0.5000 0.5000 0.0000 Mn
0.0000 0.5000 0.5000 Cl
0.5000 0.0000 0.5000 Ir
0.0000 0.0000 0.0000 Ir
```

Values from the calculation:
Symmetry: Pmmm (47)
ΔE to the lowest computed polymorph: 126.5 kJ/mol of formula units
Energy: -41.729 eV/atom

No. 4
Density functional theory data (meta-GGA SCAN) for a crystal of MnIr2Cl relaxed with PBEsol.

The structure in POSCAR format:
```
MnIr2Cl
1.0
-0.1274 -3.7366 -2.2040
3.8162 1.6730 1.2162
-2.6869 -1.6631 2.9750
Ir Mn Cl
2 1 1
Direct
0.0000 0.0000 0.0000 Ir
0.7500 0.5000 0.2500 Ir
0.5000 0.0000 0.5000 Mn
0.2500 0.5000 0.7500 Cl
```

Values from the calculation:
Symmetry: F-43m (216)
ΔE to the lowest computed polymorph: 220.1 kJ/mol of formula units
Energy: -41.487 eV/atom

No. 5
Density functional theory data (meta-GGA SCAN) for a crystal of MnIr2Cl relaxed with PBEsol.

The structure in POSCAR format:
```
MnIr2Cl
1.0
4.3062 0.0000 0.0000
2.1531 3.7293 0.0000
2.1531 1.2431 3.5160
Ir Cl Mn
2 1 1
Direct
0.2500 0.2500 0.2500 Ir
0.7500 0.7500 0.7500 Ir
0.0000 0.0000 0.0000 Cl
0.5000 0.5000 0.5000 Mn
```

Values from the calculation:
Symmetry: Fm-3m (225)
ΔE to the lowest computed polymorph: 295.8 kJ/mol of formula units
Energy: -41.291 eV/atom

No. 6
Density functional theory data (meta-GGA SCAN) for a crystal of MnIr2Cl relaxed with PBEsol.

The structure in POSCAR format:
```
MnIr2Cl
1.0
2.8039 0.0000 0.0000
0.0000 3.5186 0.0000
0.0000 0.0000 6.4277
Ir Mn Cl
2 1 1
Direct
0.5000 0.0000 0.9573 Ir
0.0000 0.5000 0.7605 Ir
0.5000 0.0000 0.5355 Mn
0.5000 0.5000 0.2467 Cl
```

Values from the calculation:
Symmetry: Pmm2 (25)
ΔE to the lowest computed polymorph: 0.0 kJ/mol of formula units
Energy: -42.057 eV/atom

No. 7
Density functional theory data (meta-GGA SCAN) for a crystal of MnIrCl relaxed with PBEsol.

The structure in POSCAR format:
```
MnIrCl
1.0
2.7792 0.0000 0.0000
0.0000 2.7792 0.0000
-1.3896 -1.3896 5.9823
Ir Cl Mn
1 1 1
Direct
0.7024 0.7024 0.4048 Ir
0.9641 0.9641 0.9282 Cl
0.3335 0.3335 0.6669 Mn
```

Values from the calculation:
Symmetry: I4mm (107)
ΔE to the lowest computed polymorph: 43.5 kJ/mol of formula units
Energy: -32.357 eV/atom

No. 8
Density functional theory data (meta-GGA SCAN) for a crystal of MnIr2Cl relaxed with PBEsol.

The structure in POSCAR format:
```
MnIr2Cl
1.0
2.7535 0.0000 0.0000
-1.3767 2.3941 0.0000
0.0000 0.0000 8.8426
Mn Ir Cl
1 2 1
Direct
0.5000 0.0000 0.5000 Mn
0.0000 0.0000 0.2689 Ir
0.0000 0.0000 0.7311 Ir
0.5000 0.0000 0.0000 Cl
```

Values from the calculation:
Symmetry: Cmmm (65)
ΔE to the lowest computed polymorph: 91.0 kJ/mol of formula units
Energy: -41.822 eV/atom

No. 9
Density functional theory data (meta-GGA SCAN) for a crystal of MnIrCl2 relaxed with PBEsol.

The structure in POSCAR format:
```
MnIrCl2
1.0
-2.2804 0.3269 1.7483
-1.6276 -1.5297 -1.8369
2.3410 -7.9404 4.5382
Cl Ir Mn
2 1 1
Direct
0.0000 0.0000 0.3349 Cl
0.0000 0.0000 0.6651 Cl
0.5000 0.5000 0.0000 Ir
0.5000 0.5000 0.5000 Mn
```

Values from the calculation:
Symmetry: P4/mmm (123)
ΔE to the lowest computed polymorph: 232.8 kJ/mol of formula units
Energy: -26.015 eV/atom

No. 10
Density functional theory data (meta-GGA SCAN) for a crystal of MnIrRu2Cl relaxed with PBEsol.

The structure in POSCAR format:
```
MnIrRu2Cl
1.0
-2.9493 -2.8160 1.1975
2.7876 -3.1585 -0.5617
1.3019 0.4081 4.1662
Ir Mn Cl Ru
1 1 1 2
Direct
0.0000 0.0000 0.5000 Ir
0.5000 0.5000 0.5000 Mn
0.0000 0.0000 0.0000 Cl
0.5000 0.0000 0.0000 Ru
0.0000 0.5000 0.0000 Ru
```

Values from the calculation:
Symmetry: P4/mmm (123)
Energy: -32.284 eV/atom

No. 11
Density functional theory data (meta-GGA SCAN) for a crystal of MnSiIr2Cl relaxed with PBEsol.

The structure in POSCAR format:
```
MnSiIr2Cl
1.0
4.4021 0.0000 0.0000
0.0000 4.4021 0.0000
0.0000 0.0000 4.4488
Ir Mn Cl Si
2 1 1 1
Direct
0.0000 0.5000 0.0000 Ir
0.5000 0.0000 0.0000 Ir
0.5000 0.5000 0.5000 Mn
0.0000 0.0000 0.0000 Cl
0.0000 0.0000 0.5000 Si
```

Values from the calculation:
Symmetry: P4/mmm (123)
Energy: -34.244 eV/atom

No. 12
Density functional theory data (meta-GGA SCAN) for a crystal of Mo2IrCl relaxed with PBEsol.

The structure in POSCAR format:
```
Mo2IrCl
1.0
2.7781 0.0000 0.0000
0.0000 4.5760 0.0000
0.0000 0.0000 4.5760
Ir Mo Cl
1 2 1
Direct
0.5000 0.0000 0.0000 Ir
0.0000 0.0000 0.5000 Mo
0.0000 0.5000 0.0000 Mo
0.5000 0.5000 0.5000 Cl
```

Values from the calculation:
Symmetry: P4/mmm (123)
ΔE to the lowest computed polymorph: 0.0 kJ/mol of formula units
Energy: -36.804 eV/atom

One value per record, in order, for DOS at the Fermi energy: 3.162 1.670 2.521 2.722 3.549 2.757 1.802 3.527 1.883 3.656 3.490 2.409 states/eV per cell.
One value per record, in order, for magnetization: 4.2 4.7 4.6 2.6 4.2 4.3 3.4 3.7 6.9 6.6 5.0 0.0 μB/cell.
One value per record, in order, for E_form (uncorrected): 98 14 37 60 79 5 8 28 30 107 139 39 kJ per mole of atoms.